VASP calculation (PBEsol) on a geometry-optimized ReTcNi2 structure.

calculated density	13.5	g/cm3
total energy	-9.237	eV per atom
density of states at the Fermi level	3.95	states/eV/f.u.

extended XYZ file:
```
4
Lattice="-1.842 1.842 3.640 1.842 -1.842 3.640 1.842 1.842 -3.640" Properties=species:S:1:pos:R:3 pbc="T T T"
Re 0.000 0.000 0.000
Tc 1.842 0.000 1.820
Ni 0.000 0.000 3.640
Ni 0.000 1.842 1.820
```

VASP calculation (PBEsol) on a geometry-optimized ReTc2Ni structure.

calculated density	13.8	g/cm3
total energy	-10.423	eV per atom
density of states at the Fermi level	4.24	states/eV/f.u.

extended XYZ file:
```
4
Lattice="2.666 0.000 0.000 0.000 2.666 0.000 0.000 0.000 7.482" Properties=species:S:1:pos:R:3 pbc="T T T"
Re 0.000 0.000 0.000
Tc 0.000 0.000 3.878
Tc 1.333 1.333 1.995
Ni 1.333 1.333 5.706
```

VASP calculation (PBEsol) on a geometry-optimized ReTcNi2 structure.

calculated density	13.3	g/cm3
total energy	-9.122	eV per atom
density of states at the Fermi level	5.54	states/eV/f.u.

extended XYZ file:
```
4
Lattice="4.293 -1.306 0.000 4.293 1.306 0.000 -0.785 0.000 4.463" Properties=species:S:1:pos:R:3 pbc="T T T"
Re 0.000 0.000 0.000
Tc 3.900 0.000 2.232
Ni 1.559 0.000 3.355
Ni 6.242 0.000 1.108
```

VASP calculation (PBEsol) on a geometry-optimized ReTc2Ni structure.

calculated density	13.6	g/cm3
total energy	-10.393	eV per atom
density of states at the Fermi level	4.79	states/eV/f.u.

extended XYZ file:
```
4
Lattice="1.340 0.774 8.650 -1.340 0.774 8.650 0.000 -1.548 8.650" Properties=species:S:1:pos:R:3 pbc="T T T"
Re 0.000 0.000 0.000
Tc 0.000 0.000 6.426
Tc 0.000 0.000 19.525
Ni 0.000 0.000 12.975
```

VASP calculation (PBEsol) on a geometry-optimized Re2TcNi structure.

calculated density	16.2	g/cm3
total energy	-10.934	eV per atom
density of states at the Fermi level	4.12	states/eV/f.u.

extended XYZ file:
```
4
Lattice="4.389 -1.360 0.000 4.389 1.360 0.000 -0.818 0.000 4.545" Properties=species:S:1:pos:R:3 pbc="T T T"
Re 1.983 0.000 1.114
Re 5.976 0.000 3.431
Tc -0.409 0.000 2.272
Ni 4.389 0.000 0.000
```

VASP calculation (PBEsol) on a geometry-optimized Re2TcNi structure.

calculated density	16.3	g/cm3
total energy	-10.861	eV per atom
density of states at the Fermi level	2.68	states/eV/f.u.

extended XYZ file:
```
4
Lattice="3.114 0.000 0.000 0.000 3.114 0.000 0.000 0.000 5.565" Properties=species:S:1:pos:R:3 pbc="T T T"
Re 0.000 0.000 1.248
Re 0.000 0.000 4.317
Tc 1.557 1.557 2.783
Ni 1.557 1.557 0.000
```

VASP calculation (PBEsol) on a geometry-optimized Re2TcNi structure.

calculated density	16.3	g/cm3
total energy	-10.926	eV per atom
density of states at the Fermi level	4.55	states/eV/f.u.

extended XYZ file:
```
4
Lattice="2.681 0.000 0.000 0.000 2.681 0.000 0.000 0.000 7.486" Properties=species:S:1:pos:R:3 pbc="T T T"
Re 0.000 0.000 1.799
Re 0.000 0.000 5.687
Tc 1.341 1.341 3.743
Ni 1.341 1.341 0.000
```

VASP calculation (PBEsol) on a geometry-optimized Zr2ReTcNi structure.

calculated density	8.1	g/cm3
total energy	-8.577	eV per atom
density of states at the Fermi level	6.59	states/eV/f.u.

extended XYZ file:
```
5
Lattice="4.884 0.000 0.000 0.000 4.884 0.000 0.000 0.000 4.535" Properties=species:S:1:pos:R:3 pbc="T T T"
Zr 0.000 2.442 0.000
Zr 2.442 0.000 0.000
Re 0.000 0.000 2.267
Tc 0.000 0.000 0.000
Ni 2.442 2.442 2.267
```

VASP calculation (PBEsol) on a geometry-optimized TiRe3Ni structure.

calculated density	13.3	g/cm3
total energy	-9.388	eV per atom
density of states at the Fermi level	9.83	states/eV/f.u.

extended XYZ file:
```
5
Lattice="4.367 0.000 0.000 0.000 4.367 0.000 0.000 0.000 4.367" Properties=species:S:1:pos:R:3 pbc="T T T"
Ti 0.000 0.000 0.000
Re 0.000 2.183 2.183
Re 2.183 0.000 2.183
Re 2.183 2.183 0.000
Ni 2.183 2.183 2.183
```

VASP calculation (PBEsol) on a geometry-optimized Ti2ReNi structure.

calculated density	10.2	g/cm3
total energy	-9.461	eV per atom
density of states at the Fermi level	3.26	states/eV/f.u.

extended XYZ file:
```
4
Lattice="0.000 3.031 3.031 3.031 0.000 3.031 3.031 3.031 0.000" Properties=species:S:1:pos:R:3 pbc="T T T"
Ti 1.516 1.516 1.516
Ti 4.547 4.547 4.547
Re 0.000 0.000 0.000
Ni 3.031 3.031 3.031
```

VASP calculation (PBEsol) on a geometry-optimized Tl2ReNi structure.

calculated density	15.9	g/cm3
total energy	-5.387	eV per atom
density of states at the Fermi level	2.52	states/eV/f.u.

extended XYZ file:
```
4
Lattice="4.533 0.000 0.000 0.000 4.533 0.000 0.000 0.000 3.313" Properties=species:S:1:pos:R:3 pbc="T T T"
Tl 0.000 2.266 0.000
Tl 2.266 0.000 0.000
Re 0.000 0.000 1.656
Ni 2.266 2.266 1.656
```

VASP calculation (PBEsol) on a geometry-optimized TlRe3Ni structure.

calculated density	15.6	g/cm3
total energy	-7.868	eV per atom
density of states at the Fermi level	8.74	states/eV/f.u.

extended XYZ file:
```
5
Lattice="4.440 0.000 0.000 0.000 4.440 0.000 0.000 0.000 4.440" Properties=species:S:1:pos:R:3 pbc="T T T"
Tl 0.000 0.000 0.000
Re 0.000 2.220 2.220
Re 2.220 0.000 2.220
Re 2.220 2.220 0.000
Ni 2.220 2.220 2.220
```